Entry 1:
DFT (PBE-GGA) results for an optimized crystal structure of Nd3SnO7.

Geometry as CIF:
```
data_Nd3SnO7
_chemical_formula_sum 'Nd12 Sn4 O28'
_symmetry_space_group_name_H-M 'C m c m'
_symmetry_Int_Tables_number 63
_symmetry_space_group_name_Hall '-C 2c 2'
_cell_length_a 10.7635
_cell_length_b 7.7359
_cell_length_c 7.8795
_cell_angle_alpha 90.00
_cell_angle_beta 90.00
_cell_angle_gamma 90.00
loop_
_atom_site_label
_atom_site_type_symbol
_atom_site_fract_x
_atom_site_fract_y
_atom_site_fract_z
_atom_site_occupancy
Nd1 Nd 0.0000 0.0000 0.0000 1
Nd2 Nd 0.2239 0.2911 0.2500 1
Sn1 Sn 0.0000 0.5000 0.0000 1
O1 O 0.0000 0.4169 0.2500 1
O2 O 0.1277 0.2980 0.5334 1
O3 O 0.1339 0.0195 0.2500 1
```

As for the electronic total energy: -7.525 eV per atom. The volume is 164 Å³/f.u. For the density of states at the Fermi level, the calculation gives 0.59 states/eV per atom.

***

Entry 2:
DFT (PBE-GGA) results for an optimized crystal structure of YTcC2.

Geometry as CIF:
```
data_YTcC2
_chemical_formula_sum 'Y3 Tc3 C6'
_symmetry_space_group_name_H-M 'R -3 m'
_symmetry_Int_Tables_number 166
_symmetry_space_group_name_Hall '-R 3 2"'
_cell_length_a 3.2311
_cell_length_b 3.2311
_cell_length_c 16.4028
_cell_angle_alpha 90.00
_cell_angle_beta 90.00
_cell_angle_gamma 120.00
loop_
_atom_site_label
_atom_site_type_symbol
_atom_site_fract_x
_atom_site_fract_y
_atom_site_fract_z
_atom_site_occupancy
Y1 Y 0.0000 0.0000 0.0000 1
Tc1 Tc 0.0000 0.0000 0.5000 1
C1 C 0.0000 0.0000 0.2373 1
```

The volume is 49 Å³/f.u. For the density of states at the Fermi level, the calculation gives 0.33 states/eV per atom. The value obtained for the formation energy is 0.09 eV/atom. For the polymorph energy (0 for the lowest one), the calculation gives 199 meV/atom.

***

Entry 3:
DFT (PBE-GGA) results for an optimized crystal structure of MoAsPb2.

Geometry as CIF:
```
data_MoAsPb2
_chemical_formula_sum 'Mo1 As1 Pb2'
_symmetry_space_group_name_H-M 'P 1 2/m 1'
_symmetry_Int_Tables_number 10
_symmetry_space_group_name_Hall '-P 2y'
_cell_length_a 3.6668
_cell_length_b 3.6571
_cell_length_c 6.7059
_cell_angle_alpha 90.00
_cell_angle_beta 97.08
_cell_angle_gamma 90.00
loop_
_atom_site_label
_atom_site_type_symbol
_atom_site_fract_x
_atom_site_fract_y
_atom_site_fract_z
_atom_site_occupancy
Mo1 Mo 0.0000 0.0000 0.0000 1
As1 As 0.0000 0.0000 0.5000 1
Pb1 Pb 0.4676 0.5000 0.7668 1
```

The volume is 89 Å³/f.u. For the density of states at the Fermi level, the calculation gives 1.03 states/eV per atom. The value obtained for the formation energy is 0.68 eV/atom.

***

Total moment, respectively: 1.0; 0.0; 0.0 μB/f.u..